# NaS2BrN PBE optimized geometry
data_NaS2BrN
_chemical_formula_sum 'Na1 S2 Br1 N1'
_cell_length_a 5.434
_cell_length_b 5.434
_cell_length_c 4.786
_cell_angle_alpha 90.00
_cell_angle_beta 90.00
_cell_angle_gamma 90.00
_space_group_name_H-M_alt 'P 4/m m m'
_space_group_IT_number 123
_space_group_name_Hall '-P 4 2'
loop_
_atom_site_label
_atom_site_fract_x
_atom_site_fract_y
_atom_site_fract_z
Na1 0.000 0.000 0.000
S1 0.000 0.500 0.000
Br1 0.500 0.500 0.500
N1 0.000 0.000 0.500
# E above lowest polymorph: 408.8 meV per atom
# formation energy without anion corrections: 1.52 eV per atom

# Rb2Si2Au PBE optimized geometry
data_Rb2Si2Au
_chemical_formula_sum 'Rb8 Si8 Au4'
_cell_length_a 10.838
_cell_length_b 8.001
_cell_length_c 7.549
_cell_angle_alpha 90.00
_cell_angle_beta 90.00
_cell_angle_gamma 90.00
_space_group_name_H-M_alt 'C m c m'
_space_group_IT_number 63
_space_group_name_Hall '-C 2c 2'
loop_
_atom_site_label
_atom_site_fract_x
_atom_site_fract_y
_atom_site_fract_z
Rb1 0.187 0.000 0.000
Si1 0.000 0.366 0.088
Au1 0.000 0.326 0.750
# E above lowest polymorph: 0.8 meV per atom
# formation energy without anion corrections: 0.08 eV per atom

# Ac4Zn5Hg3 PBE optimized geometry
data_Ac4Zn5Hg3
_chemical_formula_sum 'Ac8 Zn10 Hg6'
_cell_length_a 16.159
_cell_length_b 4.823
_cell_length_c 10.987
_cell_angle_alpha 90.00
_cell_angle_beta 125.57
_cell_angle_gamma 90.00
_space_group_name_H-M_alt 'C 1 2/m 1'
_space_group_IT_number 12
_space_group_name_Hall '-C 2y'
loop_
_atom_site_label
_atom_site_fract_x
_atom_site_fract_y
_atom_site_fract_z
Ac1 0.018 0.000 0.320
Ac2 0.234 0.500 0.240
Zn1 0.000 0.500 0.000
Zn2 0.093 0.500 0.586
Zn3 0.223 0.500 0.524
Hg1 0.000 0.000 0.000
Hg2 0.178 0.500 0.894
# formation energy: -2.9 eV per formula unit